Below is a geometry-optimized ZrFe2Ir structure, with properties calculated at the PBE level.

Cell: 2.776 2.776 7.369 Å, 90.00 90.00 90.00°
Space group P4/mmm (No. 123)
One atom of each set of equivalent atoms:
Zr 0.000 0.000 0.000 [1 per cell]
Fe 0.500 0.500 0.279 [2 per cell]
Ir 0.000 0.000 0.500 [1 per cell]

Values from the calculation:
DOS at the Fermi energy	4.5	states/eV/f.u.
formation enthalpy at 0 K	132	meV per atom

=====

Below is a geometry-optimized SrHgIr2 structure, with properties calculated at the PBE level.

Cell: 3.1171 3.1171 28.0782 Å, 90.00 90.00 120.00°
Space group R-3m (No. 166, hexagonal axes)
One atom of each set of equivalent atoms:
Sr 0.0000 0.0000 0.0000 [3 per cell]
Hg 0.0000 0.0000 0.5000 [3 per cell]
Ir 0.0000 0.0000 0.2456 [6 per cell]

Values from the calculation:
DOS at the Fermi energy	5.0	states/eV/f.u.
formation enthalpy at 0 K	645	meV per atom